Record 1
Material: KInAgBr6
Method: DFT, GGA-PBE
State: relaxed

Geometry as CIF:
```
data_KInAgBr6
_symmetry_space_group_name_H-M 'P 1'
_symmetry_Int_Tables_number 1
_cell_length_a 7.2262
_cell_length_b 7.1421
_cell_length_c 7.1421
_cell_angle_alpha 120.00
_cell_angle_beta 90.00
_cell_angle_gamma 90.00
loop_
_symmetry_equiv_pos_as_xyz
'x,y,z'
loop_
_atom_site_label
_atom_site_type_symbol
_atom_site_fract_x
_atom_site_fract_y
_atom_site_fract_z
_atom_site_occupancy
Br1 Br 0.2793 0.9532 0.6597 1
Br2 Br 0.7207 0.3403 0.0468 1
Br3 Br 0.2793 0.7064 0.0468 1
Br4 Br 0.7207 0.7064 0.6597 1
Br5 Br 0.7207 0.9532 0.2936 1
Br6 Br 0.2793 0.3403 0.2936 1
Ag1 Ag 0.5000 0.0000 0.0000 1
K1 K 0.0000 0.3333 0.6667 1
In1 In 0.5000 0.6667 0.3333 1
```

Summary:
Total magnetization (μB/atom): 0.117
Crystal system: trigonal
Space-group type: P312, No. 149

=====

Record 2
Material: Na3Ac2NpSe6
Method: DFT, GGA-PBE
State: relaxed

Geometry as CIF:
```
data_Na3Ac2NpSe6
_symmetry_space_group_name_H-M 'P 1'
_symmetry_Int_Tables_number 1
_cell_length_a 4.4154
_cell_length_b 8.6845
_cell_length_c 9.7435
_cell_angle_alpha 101.23
_cell_angle_beta 103.10
_cell_angle_gamma 90.00
loop_
_symmetry_equiv_pos_as_xyz
'x,y,z'
loop_
_atom_site_label
_atom_site_type_symbol
_atom_site_fract_x
_atom_site_fract_y
_atom_site_fract_z
_atom_site_occupancy
Np1 Np 0.5000 0.0000 0.0000 1
Se1 Se 0.3332 0.4192 0.6664 1
Se2 Se 0.3403 0.9235 0.6806 1
Se3 Se 0.0004 0.7721 0.0007 1
Se4 Se 0.6668 0.5808 0.3336 1
Se5 Se 0.6597 0.0765 0.3194 1
Se6 Se 0.9996 0.2279 0.9993 1
Ac1 Ac 0.8348 0.6727 0.6695 1
Ac2 Ac 0.1652 0.3273 0.3305 1
Na1 Na 0.8348 0.1678 0.6697 1
Na2 Na 0.5000 0.5000 0.0000 1
Na3 Na 0.1652 0.8322 0.3303 1
```

Summary:
Total magnetization (μB/atom): 0.333
Crystal system: monoclinic
Space-group type: C2/m, No. 12

=====

Record 3
Material: Pu2PbN
Method: DFT, GGA-PBE
State: relaxed

Geometry as CIF:
```
data_Pu2PbN
_symmetry_space_group_name_H-M 'P 1'
_symmetry_Int_Tables_number 1
_cell_length_a 3.5175
_cell_length_b 3.5175
_cell_length_c 8.5452
_cell_angle_alpha 78.12
_cell_angle_beta 78.12
_cell_angle_gamma 59.99
loop_
_symmetry_equiv_pos_as_xyz
'x,y,z'
loop_
_atom_site_label
_atom_site_type_symbol
_atom_site_fract_x
_atom_site_fract_y
_atom_site_fract_z
_atom_site_occupancy
Pb1 Pb 0.5002 0.5002 0.4992 1
N1 N 0.6672 0.6672 0.9982 1
Pu1 Pu 0.0552 0.0552 0.8346 1
Pu2 Pu 0.2774 0.2774 0.1680 1
```

Summary:
Total magnetization (μB/atom): 2.785
Crystal system: trigonal
Space-group type: R3m, No. 160

=====

Record 4
Material: AsPt2Br
Method: DFT, GGA-PBE
State: relaxed

Geometry as CIF:
```
data_AsPt2Br
_symmetry_space_group_name_H-M 'P 1'
_symmetry_Int_Tables_number 1
_cell_length_a 6.5396
_cell_length_b 6.5396
_cell_length_c 6.5396
_cell_angle_alpha 147.56
_cell_angle_beta 147.56
_cell_angle_gamma 46.53
loop_
_symmetry_equiv_pos_as_xyz
'x,y,z'
loop_
_atom_site_label
_atom_site_type_symbol
_atom_site_fract_x
_atom_site_fract_y
_atom_site_fract_z
_atom_site_occupancy
Br1 Br 0.7500 0.2500 0.5000 1
Pt1 Pt 0.0000 0.0000 0.0000 1
Pt2 Pt 0.2500 0.7500 0.5000 1
As1 As 0.5000 0.5000 0.0000 1
```

Summary:
Total magnetization (μB/atom): 0.000
Crystal system: tetragonal
Space-group type: I-4m2, No. 119

=====

Record 5
Material: ScCoAs2
Method: DFT, GGA-PBE
State: relaxed

Geometry as CIF:
```
data_ScCoAs2
_symmetry_space_group_name_H-M 'P 1'
_symmetry_Int_Tables_number 1
_cell_length_a 4.5273
_cell_length_b 4.5273
_cell_length_c 4.5273
_cell_angle_alpha 60.00
_cell_angle_beta 60.00
_cell_angle_gamma 60.00
loop_
_symmetry_equiv_pos_as_xyz
'x,y,z'
loop_
_atom_site_label
_atom_site_type_symbol
_atom_site_fract_x
_atom_site_fract_y
_atom_site_fract_z
_atom_site_occupancy
As1 As 0.7500 0.7500 0.7500 1
As2 As 0.2500 0.2500 0.2500 1
Co1 Co 0.5000 0.5000 0.5000 1
Sc1 Sc 0.0000 0.0000 0.0000 1
```

Summary:
Total magnetization (μB/atom): 0.468
Crystal system: cubic
Space-group type: Fm-3m, No. 225
E_form (eV/atom): -0.299

=====

Record 6
Material: Cs3TiF8
Method: DFT, GGA-PBE
State: relaxed

Geometry as CIF:
```
data_Cs3TiF8
_symmetry_space_group_name_H-M 'P 1'
_symmetry_Int_Tables_number 1
_cell_length_a 7.1281
_cell_length_b 6.9070
_cell_length_c 7.1281
_cell_angle_alpha 58.94
_cell_angle_beta 90.00
_cell_angle_gamma 121.06
loop_
_symmetry_equiv_pos_as_xyz
'x,y,z'
loop_
_atom_site_label
_atom_site_type_symbol
_atom_site_fract_x
_atom_site_fract_y
_atom_site_fract_z
_atom_site_occupancy
F1 F 0.1389 0.8997 0.2392 1
F2 F 0.0734 0.3708 0.7026 1
F3 F 0.2974 0.3708 0.9266 1
F4 F 0.7026 0.6292 0.2974 1
F5 F 0.8611 0.1003 0.1389 1
F6 F 0.9266 0.6292 0.0734 1
F7 F 0.7608 0.8997 0.8611 1
F8 F 0.2392 0.1003 0.7608 1
Cs1 Cs 0.7500 0.5000 0.7500 1
Cs2 Cs 0.5000 0.0000 0.5000 1
Cs3 Cs 0.2500 0.5000 0.2500 1
Ti1 Ti 0.0000 0.0000 0.0000 1
```

Summary:
Total magnetization (μB/atom): 0.084
Crystal system: tetragonal
Space-group type: I-42m, No. 121

=====

Record 7
Material: Cd2SiAg
Method: DFT, GGA-PBE
State: relaxed

Geometry as CIF:
```
data_Cd2SiAg
_symmetry_space_group_name_H-M 'P 1'
_symmetry_Int_Tables_number 1
_cell_length_a 4.8434
_cell_length_b 4.8434
_cell_length_c 4.8434
_cell_angle_alpha 60.00
_cell_angle_beta 60.00
_cell_angle_gamma 60.00
loop_
_symmetry_equiv_pos_as_xyz
'x,y,z'
loop_
_atom_site_label
_atom_site_type_symbol
_atom_site_fract_x
_atom_site_fract_y
_atom_site_fract_z
_atom_site_occupancy
Cd1 Cd 0.0000 0.0000 0.0000 1
Cd2 Cd 0.7500 0.7500 0.7500 1
Si1 Si 0.2500 0.2500 0.2500 1
Ag1 Ag 0.5000 0.5000 0.5000 1
```

Summary:
Total magnetization (μB/atom): 0.000
Crystal system: cubic
Space-group type: F-43m, No. 216

=====

Record 8
Material: KTlPbO3
Method: DFT, GGA-PBE
State: relaxed

Geometry as CIF:
```
data_KTlPbO3
_symmetry_space_group_name_H-M 'P 1'
_symmetry_Int_Tables_number 1
_cell_length_a 3.4237
_cell_length_b 7.0756
_cell_length_c 10.3836
_cell_angle_alpha 93.26
_cell_angle_beta 90.00
_cell_angle_gamma 90.00
loop_
_symmetry_equiv_pos_as_xyz
'x,y,z'
loop_
_atom_site_label
_atom_site_type_symbol
_atom_site_fract_x
_atom_site_fract_y
_atom_site_fract_z
_atom_site_occupancy
K1 K 0.2500 0.1351 0.2006 1
K2 K 0.7500 0.8649 0.7994 1
O1 O 0.7500 0.4030 0.1057 1
O2 O 0.2500 0.1815 0.8188 1
O3 O 0.7500 0.1123 0.4220 1
O4 O 0.7500 0.8185 0.1812 1
O5 O 0.2500 0.8877 0.5780 1
O6 O 0.2500 0.5970 0.8943 1
Tl1 Tl 0.2500 0.6291 0.1145 1
Tl2 Tl 0.7500 0.3709 0.8855 1
Pb1 Pb 0.2500 0.2072 0.5606 1
Pb2 Pb 0.7500 0.7928 0.4394 1
```

Summary:
Total magnetization (μB/atom): 0.000
Crystal system: monoclinic
Space-group type: P2_1/m, No. 11

=====

Record 9
Material: GaNi5
Method: DFT, GGA-PBE
State: relaxed

Geometry as CIF:
```
data_GaNi5
_symmetry_space_group_name_H-M 'P 1'
_symmetry_Int_Tables_number 1
_cell_length_a 3.5714
_cell_length_b 4.3376
_cell_length_c 5.0302
_cell_angle_alpha 106.17
_cell_angle_beta 90.00
_cell_angle_gamma 114.31
loop_
_symmetry_equiv_pos_as_xyz
'x,y,z'
loop_
_atom_site_label
_atom_site_type_symbol
_atom_site_fract_x
_atom_site_fract_y
_atom_site_fract_z
_atom_site_occupancy
Ni1 Ni 0.9722 0.9443 0.4443 1
Ni2 Ni 0.3041 0.6081 0.6065 1
Ni3 Ni 0.3056 0.6113 0.1148 1
Ni4 Ni 0.6389 0.2777 0.7741 1
Ni5 Ni 0.6404 0.2807 0.2825 1
Ga1 Ga 0.9723 0.9445 0.9444 1
```

Summary:
Total magnetization (μB/atom): 0.240
Crystal system: monoclinic
Space-group type: C2/m, No. 12
E_form (eV/atom): -0.173

=====

Record 10
Material: Tb5SmHo3
Method: DFT, GGA-PBE
State: relaxed

Geometry as CIF:
```
data_Tb5SmHo3
_symmetry_space_group_name_H-M 'P 1'
_symmetry_Int_Tables_number 1
_cell_length_a 6.1750
_cell_length_b 9.1565
_cell_length_c 11.2579
_cell_angle_alpha 91.13
_cell_angle_beta 90.00
_cell_angle_gamma 109.71
loop_
_symmetry_equiv_pos_as_xyz
'x,y,z'
loop_
_atom_site_label
_atom_site_type_symbol
_atom_site_fract_x
_atom_site_fract_y
_atom_site_fract_z
_atom_site_occupancy
Tb1 Tb 0.4381 0.3262 0.0783 1
Tb2 Tb 0.9675 0.3516 0.2471 1
Tb3 Tb 0.4071 0.0000 0.7500 1
Tb4 Tb 0.5929 0.0000 0.2500 1
Tb5 Tb 0.8881 0.3262 0.5783 1
Tb6 Tb 0.3841 0.3516 0.7471 1
Tb7 Tb 0.6159 0.6484 0.2529 1
Tb8 Tb 0.0325 0.6484 0.7529 1
Tb9 Tb 0.5619 0.6738 0.9217 1
Tb10 Tb 0.1119 0.6738 0.4217 1
Sm1 Sm 0.1157 0.0000 0.2500 1
Sm2 Sm 0.8843 0.0000 0.7500 1
Ho1 Ho 0.4299 0.3282 0.4171 1
Ho2 Ho 0.8983 0.3282 0.9171 1
Ho3 Ho 0.0000 0.0000 0.0000 1
Ho4 Ho 0.1017 0.6718 0.0829 1
Ho5 Ho 0.0000 0.0000 0.5000 1
Ho6 Ho 0.5701 0.6718 0.5829 1
```

Summary:
Total magnetization (μB/atom): 0.000
Crystal system: monoclinic
Space-group type: C2/c, No. 15
E_form (eV/atom): 0.315

=====

Record 11
Material: NdMgP2
Method: DFT, GGA-PBE
State: relaxed

Geometry as CIF:
```
data_NdMgP2
_symmetry_space_group_name_H-M 'P 1'
_symmetry_Int_Tables_number 1
_cell_length_a 4.1277
_cell_length_b 4.1277
_cell_length_c 6.5268
_cell_angle_alpha 71.57
_cell_angle_beta 71.57
_cell_angle_gamma 60.00
loop_
_symmetry_equiv_pos_as_xyz
'x,y,z'
loop_
_atom_site_label
_atom_site_type_symbol
_atom_site_fract_x
_atom_site_fract_y
_atom_site_fract_z
_atom_site_occupancy
Nd1 Nd 0.5000 0.5000 0.5000 1
Mg1 Mg 0.0000 0.0000 0.0000 1
P1 P 0.2573 0.2573 0.2281 1
P2 P 0.7427 0.7427 0.7719 1
```

Summary:
Total magnetization (μB/atom): 0.000
Crystal system: trigonal
Space-group type: R-3m, No. 166
E_form (eV/atom): -0.804

=====

Record 12
Material: Li2ZrCl
Method: DFT, GGA-PBE
State: relaxed

Geometry as CIF:
```
data_Li2ZrCl
_symmetry_space_group_name_H-M 'P 1'
_symmetry_Int_Tables_number 1
_cell_length_a 9.2788
_cell_length_b 9.2788
_cell_length_c 9.2788
_cell_angle_alpha 19.99
_cell_angle_beta 19.99
_cell_angle_gamma 19.99
loop_
_symmetry_equiv_pos_as_xyz
'x,y,z'
loop_
_atom_site_label
_atom_site_type_symbol
_atom_site_fract_x
_atom_site_fract_y
_atom_site_fract_z
_atom_site_occupancy
Li1 Li 0.2506 0.2506 0.2506 1
Li2 Li 0.0134 0.0134 0.0134 1
Zr1 Zr 0.4882 0.4882 0.4882 1
Cl1 Cl 0.7479 0.7479 0.7479 1
```

Summary:
Total magnetization (μB/atom): 0.000
Crystal system: trigonal
Space-group type: R3m, No. 160

=====

Record 13
Material: SrTl3Hg7
Method: DFT, GGA-PBE
State: relaxed

Geometry as CIF:
```
data_SrTl3Hg7
_symmetry_space_group_name_H-M 'P 1'
_symmetry_Int_Tables_number 1
_cell_length_a 3.8310
_cell_length_b 11.2862
_cell_length_c 15.4731
_cell_angle_alpha 90.00
_cell_angle_beta 90.00
_cell_angle_gamma 99.77
loop_
_symmetry_equiv_pos_as_xyz
'x,y,z'
loop_
_atom_site_label
_atom_site_type_symbol
_atom_site_fract_x
_atom_site_fract_y
_atom_site_fract_z
_atom_site_occupancy
Hg1 Hg 0.5654 0.1309 0.8794 1
Hg2 Hg 0.6538 0.3076 0.2500 1
Hg3 Hg 0.2447 0.4894 0.3530 1
Hg4 Hg 0.5654 0.1309 0.6206 1
Hg5 Hg 0.5727 0.1454 0.4217 1
Hg6 Hg 0.4346 0.8691 0.1206 1
Hg7 Hg 0.3462 0.6924 0.7500 1
Hg8 Hg 0.7553 0.5106 0.6470 1
Hg9 Hg 0.4273 0.8546 0.5783 1
Hg10 Hg 0.4273 0.8546 0.9217 1
Hg11 Hg 0.4346 0.8691 0.3794 1
Hg12 Hg 0.5727 0.1454 0.0783 1
Hg13 Hg 0.7553 0.5106 0.8530 1
Hg14 Hg 0.2447 0.4894 0.1470 1
Tl1 Tl 0.1724 0.3448 0.9770 1
Tl2 Tl 0.8276 0.6552 0.0230 1
Tl3 Tl 0.8464 0.6928 0.2500 1
Tl4 Tl 0.1536 0.3072 0.7500 1
Tl5 Tl 0.8276 0.6552 0.4770 1
Tl6 Tl 0.1724 0.3448 0.5230 1
Sr1 Sr 0.0259 0.0518 0.2500 1
Sr2 Sr 0.9741 0.9482 0.7500 1
```

Summary:
Total magnetization (μB/atom): 0.000
Crystal system: orthorhombic
Space-group type: Cmcm, No. 63
E_form (eV/atom): -0.128

=====

Record 14
Material: MnAs2Pd2
Method: DFT, GGA-PBE
State: relaxed

Geometry as CIF:
```
data_MnAs2Pd2
_symmetry_space_group_name_H-M 'P 1'
_symmetry_Int_Tables_number 1
_cell_length_a 3.7017
_cell_length_b 3.7017
_cell_length_c 7.0611
_cell_angle_alpha 74.80
_cell_angle_beta 74.80
_cell_angle_gamma 90.00
loop_
_symmetry_equiv_pos_as_xyz
'x,y,z'
loop_
_atom_site_label
_atom_site_type_symbol
_atom_site_fract_x
_atom_site_fract_y
_atom_site_fract_z
_atom_site_occupancy
Mn1 Mn 0.0000 0.0000 0.0000 1
Pd1 Pd 0.6013 0.6013 0.7973 1
Pd2 Pd 0.3987 0.3987 0.2027 1
As1 As 0.2500 0.7500 0.5000 1
As2 As 0.7500 0.2500 0.5000 1
```

Summary:
Total magnetization (μB/atom): 0.849
Crystal system: tetragonal
Space-group type: I4/mmm, No. 139
E_form (eV/atom): 0.082

=====

Record 15
Material: K3Pd2Br7
Method: DFT, GGA-PBE
State: relaxed

Geometry as CIF:
```
data_K3Pd2Br7
_symmetry_space_group_name_H-M 'P 1'
_symmetry_Int_Tables_number 1
_cell_length_a 5.2674
_cell_length_b 5.2674
_cell_length_c 13.8697
_cell_angle_alpha 100.95
_cell_angle_beta 100.95
_cell_angle_gamma 90.00
loop_
_symmetry_equiv_pos_as_xyz
'x,y,z'
loop_
_atom_site_label
_atom_site_type_symbol
_atom_site_fract_x
_atom_site_fract_y
_atom_site_fract_z
_atom_site_occupancy
K1 K 0.6792 0.6792 0.3584 1
K2 K 0.3208 0.3208 0.6416 1
K3 K 0.5000 0.5000 0.0000 1
Br1 Br 0.0959 0.5959 0.1917 1
Br2 Br 0.9041 0.4041 0.8083 1
Br3 Br 0.8042 0.8042 0.6085 1
Br4 Br 0.5959 0.0959 0.1917 1
Br5 Br 0.1958 0.1958 0.3915 1
Br6 Br 0.0000 0.0000 0.0000 1
Br7 Br 0.4041 0.9041 0.8083 1
Pd1 Pd 0.0977 0.0977 0.1955 1
Pd2 Pd 0.9023 0.9023 0.8045 1
```

Summary:
Total magnetization (μB/atom): 0.000
Crystal system: tetragonal
Space-group type: I4/mmm, No. 139

=====

Record 16
Material: ZnAs2W
Method: DFT, GGA-PBE
State: relaxed

Geometry as CIF:
```
data_ZnAs2W
_symmetry_space_group_name_H-M 'P 1'
_symmetry_Int_Tables_number 1
_cell_length_a 3.2770
_cell_length_b 3.2771
_cell_length_c 6.1848
_cell_angle_alpha 90.00
_cell_angle_beta 90.00
_cell_angle_gamma 90.00
loop_
_symmetry_equiv_pos_as_xyz
'x,y,z'
loop_
_atom_site_label
_atom_site_type_symbol
_atom_site_fract_x
_atom_site_fract_y
_atom_site_fract_z
_atom_site_occupancy
As1 As 0.0000 0.0000 0.4782 1
As2 As 0.0000 0.0000 0.0218 1
W1 W 0.5000 0.5000 0.2500 1
Zn1 Zn 0.5000 0.5000 0.7500 1
```

Summary:
Total magnetization (μB/atom): 0.000
Crystal system: tetragonal
Space-group type: P4/mmm, No. 123
E_form (eV/atom): 0.141

=====

no.,density (g cm⁻³),DFT total energy (eV/atom)
1,3.856,-2.66
2,5.746,-5.37
3,13.242,-10.84
4,11.288,-4.11
5,6.421,-5.98
6,4.142,-4.92
7,7.457,-2.21
8,6.595,-4.68
9,8.919,-5.50
10,7.981,-4.31
11,4.269,-5.10
12,2.857,-4.03
13,10.603,-1.12
14,7.717,-5.69
15,3.985,-3.12
16,9.978,-5.74